An optimized crystal structure of Na5LaO4, computed with GGA-PBE.

Cell and atoms, written as POSCAR:
```
Na5LaO4
1.0
5.626 0.000 0.000
0.000 7.653 0.000
0.000 0.000 8.167
Na O La
10 8 2
Direct
0.251 0.757 0.811
0.749 0.743 0.689
0.251 0.757 0.189
0.224 0.000 0.500
0.749 0.257 0.311
0.749 0.257 0.689
0.251 0.243 0.189
0.251 0.243 0.811
0.749 0.743 0.311
0.776 0.500 0.000
0.445 0.258 0.500
0.995 0.000 0.759
0.445 0.742 0.500
0.555 0.242 0.000
0.005 0.500 0.259
0.005 0.500 0.741
0.555 0.758 0.000
0.995 0.000 0.241
0.779 0.000 0.000
0.221 0.500 0.500
```

Output
**Fermi-level density of states**: 0.00 states/eV/f.u.
**Mass density**: 3.0 g cm⁻³
**SG**: Pmmn, No. 59
**Energy relative to the lowest polymorph listed for this composition**: 0.019 eV/atom
**VASP energy**: -0.3584 Ry/atom
**Raw formation energy**: -1.7407 eV/atom